Computed, not measured: a geometry-optimized KLaRu3 structure at the PBE-GGA level of DFT.

Geometry as POSCAR:
```
KLaRu3
1.0
5.049 0.000 0.000
0.000 5.049 0.000
0.000 0.000 5.049
K La Ru
1 1 3
direct
0.000 0.000 0.000
0.500 0.500 0.500
0.000 0.500 0.500
0.500 0.000 0.500
0.500 0.500 0.000
```

Summary:
- Fermi-level density of states: 5.63 states/eV/f.u.
- Magnetization: 3.7 Bohr magnetons per cell
- Formation energy from the elements: 8.1 eV per formula unit
- Space group: Pm-3m (221)

---

Computed, not measured: a geometry-optimized Na2PtC2 structure at the PBE-GGA level of DFT.

Geometry as POSCAR:
```
Na2PtC2
1.0
5.445 0.000 0.000
0.000 5.445 0.000
0.000 0.000 5.298
Na Pt C
4 2 4
direct
0.000 0.500 0.250
0.000 0.500 0.750
0.500 0.000 0.250
0.500 0.000 0.750
0.000 0.000 0.000
0.500 0.500 0.500
0.000 0.000 0.379
0.000 0.000 0.621
0.500 0.500 0.121
0.500 0.500 0.879
```

Summary:
- Fermi-level density of states: 0.00 states/eV/f.u.
- Magnetization: 0.0 Bohr magnetons per cell
- Formation energy from the elements: 0.4 eV per formula unit
- Space group: I4/mmm (139)

---

Computed, not measured: a geometry-optimized TlCr2Ag structure at the PBE-GGA level of DFT.

Geometry as POSCAR:
```
TlCr2Ag
1.0
2.956 0.000 0.000
0.000 4.323 0.000
0.000 0.000 5.517
Tl Cr Ag
1 2 1
direct
0.000 0.000 0.000
0.500 0.500 0.328
0.500 0.500 0.672
0.000 0.000 0.500
```

Summary:
- Fermi-level density of states: 3.61 states/eV/f.u.
- Magnetization: 0.0 Bohr magnetons per cell
- Formation energy from the elements: 3.1 eV per formula unit
- Space group: Pmmm (47)

---

Computed, not measured: a geometry-optimized AcTm2Mg3 structure at the PBE-GGA level of DFT.

Geometry as POSCAR:
```
AcTm2Mg3
1.0
3.868 0.000 0.000
0.000 3.868 0.000
0.000 0.000 11.666
Ac Tm Mg
1 2 3
direct
0.000 0.000 0.000
0.000 0.000 0.346
0.000 0.000 0.654
0.500 0.500 0.196
0.500 0.500 0.500
0.500 0.500 0.804
```

Summary:
- Fermi-level density of states: 7.45 states/eV/f.u.
- Magnetization: 0.0 Bohr magnetons per cell
- Formation energy from the elements: -0.3 eV per formula unit
- Space group: P4/mmm (123)